Record 1
PuMgGa2Pd2 after structural relaxation, computed with GGA-PBE.

Cell: 4.3891 4.3891 6.8288 Å, 90.00 90.00 120.00°
Space group P-3m1 (No. 164)
Unique sites:
1 Pu 0.0000 0.0000 0.0000 (multiplicity 1)
2 Mg 0.0000 0.0000 0.5000 (multiplicity 1)
3 Ga 0.3333 0.6667 0.7331 (multiplicity 2)
4 Pd 0.3333 0.6667 0.3345 (multiplicity 2)

crystal system	trigonal
formation energy	-558	meV/atom

Record 2
SmInBi2 after structural relaxation, computed with GGA-PBE.

Cell: 5.0217 5.0217 25.6536 Å, 90.00 90.00 120.00°
Space group R-3m (No. 166, hexagonal axes)
Unique sites:
1 Sm 0.0000 0.0000 0.0000 (multiplicity 3)
2 In 0.0000 0.0000 0.5000 (multiplicity 3)
3 Bi 0.0000 0.0000 0.3903 (multiplicity 6)

energy relative to the lowest polymorph listed for this composition	40.9	kJ/mol of atoms
crystal system	trigonal
formation energy	-10	meV/atom

Record 3
AlGeI after structural relaxation, computed with GGA-PBE.

Cell: 4.3029 4.3109 11.4192 Å, 89.85 89.64 90.00°
Space group P-1 (No. 2)
Unique sites:
1 Al 0.2279 0.2488 0.1332 (multiplicity 2)
2 Ge 0.2633 0.7498 0.0007 (multiplicity 2)
3 I 0.2430 0.2474 0.3501 (multiplicity 2)

energy relative to the lowest polymorph listed for this composition	12.2	kJ/mol of atoms
formation energy from raw total energies	-0.13	eV/atom
crystal system	triclinic

no.,N(E_F) (states/eV per cell),uncorrected energy (eV/atom)
1,14.76,-5.95
2,3.61,-3.81
3,1.29,-3.44